[1]
DFT (PBE) results for an optimized crystal structure of MnRe2P.

Raw total energy ... -38.1 eV/cell
Volume ... 57 Å³/cell
Energy of formation from the pure elements ... 1.378 eV per formula unit
D(E_F) ... 0.572 states/eV/atom

a b c (Å): 2.807 2.807 7.994
angles (deg): 90.00 90.00 115.78
Fractional coordinates of all 4 atoms:
P  0.500  0.500  0.000
Mn  0.500  0.500  0.500
Re  0.000  0.000  0.767
Re  0.000  0.000  0.233

[2]
DFT (PBE) results for an optimized crystal structure of CsAcB2O6.

Raw total energy ... -142.0 eV/cell
Volume ... 367 Å³/cell

a b c (Å): 7.070 7.070 8.015
angles (deg): 105.07 105.07 96.16
Fractional coordinates of all 20 atoms:
B  0.398  0.141  0.762
Cs  0.121  0.879  0.250
O  0.411  0.945  0.732
O  0.291  0.523  0.409
O  0.589  0.055  0.268
O  0.477  0.709  0.091
B  0.602  0.859  0.238
Ac  0.595  0.405  0.250
O  0.739  0.797  0.357
O  0.523  0.291  0.909
O  0.709  0.477  0.591
B  0.141  0.398  0.262
B  0.859  0.602  0.738
O  0.203  0.261  0.143
O  0.055  0.589  0.768
O  0.797  0.739  0.857
O  0.261  0.203  0.643
Ac  0.405  0.595  0.750
Cs  0.879  0.121  0.750
O  0.945  0.411  0.232

[3]
DFT (PBE) results for an optimized crystal structure of Cu6NiPd3.

Raw total energy ... -92.1 eV/cell
Volume ... 263 Å³/cell
Energy of formation from the pure elements ... -0.098 eV per formula unit
D(E_F) ... 0.575 states/eV/atom

a b c (Å): 2.718 11.280 10.133
angles (deg): 122.18 90.00 90.00
Fractional coordinates of all 20 atoms:
Pd  0.250  0.422  0.556
Cu  0.750  0.214  0.546
Pd  0.750  0.460  0.848
Cu  0.750  0.938  0.165
Pd  0.250  0.874  0.918
Pd  0.250  0.540  0.152
Cu  0.250  0.357  0.249
Cu  0.250  0.166  0.318
Cu  0.250  0.062  0.835
Ni  0.250  0.989  0.397
Cu  0.250  0.232  0.756
Cu  0.750  0.768  0.244
Cu  0.250  0.786  0.454
Cu  0.750  0.305  0.997
Cu  0.750  0.834  0.682
Pd  0.750  0.126  0.082
Pd  0.750  0.578  0.444
Cu  0.750  0.643  0.751
Ni  0.750  0.011  0.603
Cu  0.250  0.695  0.003

[4]
DFT (PBE) results for an optimized crystal structure of KCrTcS2.

Raw total energy ... -27.5 eV/cell
Volume ... 107 Å³/cell
D(E_F) ... 1.009 states/eV/atom

a b c (Å): 4.855 4.855 4.520
angles (deg): 90.00 90.00 90.00
Fractional coordinates of all 5 atoms:
S  0.500  0.000  0.000
S  0.000  0.500  0.000
Cr  0.000  0.000  0.000
Tc  0.000  0.000  0.500
K  0.500  0.500  0.500

[5]
DFT (PBE) results for an optimized crystal structure of CeGePt.

Raw total energy ... -18.3 eV/cell
Volume ... 66 Å³/cell
Energy of formation from the pure elements ... -1.750 eV per formula unit
D(E_F) ... 1.594 states/eV/atom

a b c (Å): 3.902 3.902 5.158
angles (deg): 112.23 112.23 90.00
Fractional coordinates of all 3 atoms:
Ce  0.628  0.628  0.255
Pt  0.262  0.262  0.524
Ge  0.960  0.960  0.921

[6]
DFT (PBE) results for an optimized crystal structure of Nb2TlSiC.

Raw total energy ... -26.4 eV/cell
Volume ... 110 Å³/cell
D(E_F) ... 1.229 states/eV/atom

a b c (Å): 4.733 4.911 4.733
angles (deg): 90.00 90.00 90.00
Fractional coordinates of all 5 atoms:
Tl  0.000  0.500  0.000
C  0.500  0.500  0.500
Nb  0.000  0.000  0.500
Nb  0.500  0.000  0.000
Si  0.000  0.000  0.000

[7]
DFT (PBE) results for an optimized crystal structure of Tl2ReHgW.

Raw total energy ... -20.2 eV/cell
Volume ... 151 Å³/cell
Energy of formation from the pure elements ... 10.238 eV per formula unit
D(E_F) ... 0.793 states/eV/atom

a b c (Å): 5.348 5.288 5.348
angles (deg): 90.00 90.00 90.00
Fractional coordinates of all 5 atoms:
Re  0.500  0.500  0.500
Tl  0.500  0.000  0.000
W  0.000  0.000  0.000
Tl  0.000  0.000  0.500
Hg  0.000  0.500  0.000

[8]
DFT (PBE) results for an optimized crystal structure of ZrTlSb2I.

Raw total energy ... -21.2 eV/cell
Volume ... 189 Å³/cell
D(E_F) ... 0.741 states/eV/atom

a b c (Å): 5.550 5.550 6.123
angles (deg): 90.00 90.00 90.00
Fractional coordinates of all 5 atoms:
Tl  0.500  0.500  0.500
Zr  0.000  0.000  0.000
I  0.000  0.000  0.500
Sb  0.500  0.000  0.000
Sb  0.000  0.500  0.000

[9]
DFT (PBE) results for an optimized crystal structure of Tb6CeNd2Dy3.

Raw total energy ... -56.6 eV/cell
Volume ... 388 Å³/cell
Energy of formation from the pure elements ... 0.448 eV per formula unit
D(E_F) ... 1.669 states/eV/atom

a b c (Å): 6.197 6.197 11.839
angles (deg): 95.01 95.01 120.00
Fractional coordinates of all 12 atoms:
Nd  0.334  0.666  0.000
Tb  0.753  0.753  0.252
Ce  0.000  0.000  0.000
Tb  0.916  0.585  0.748
Tb  0.585  0.916  0.748
Tb  0.084  0.415  0.252
Tb  0.415  0.084  0.252
Tb  0.247  0.247  0.748
Dy  0.500  0.500  0.500
Nd  0.666  0.334  0.000
Dy  0.833  0.167  0.500
Dy  0.167  0.833  0.500

[10]
DFT (PBE) results for an optimized crystal structure of Pm3Sm5Y4.

Raw total energy ... -61.1 eV/cell
Volume ... 409 Å³/cell
Energy of formation from the pure elements ... 2.565 eV per formula unit
D(E_F) ... 1.662 states/eV/atom

a b c (Å): 5.996 8.653 9.746
angles (deg): 105.82 72.09 69.73
Fractional coordinates of all 12 atoms:
Pm  0.479  0.313  0.730
Sm  0.500  0.500  0.500
Pm  0.521  0.687  0.270
Y  0.834  0.954  0.377
Pm  0.000  0.500  0.500
Sm  0.623  0.952  0.801
Y  0.166  0.046  0.623
Sm  0.213  0.460  0.114
Sm  0.377  0.048  0.199
Y  0.858  0.222  0.061
Sm  0.787  0.540  0.886
Y  0.142  0.778  0.939

[11]
DFT (PBE) results for an optimized crystal structure of CoB2Pt.

Raw total energy ... -25.3 eV/cell
Volume ... 38 Å³/cell
Energy of formation from the pure elements ... 1.152 eV per formula unit
D(E_F) ... 0.299 states/eV/atom

a b c (Å): 3.774 3.774 3.774
angles (deg): 60.00 60.00 60.00
Fractional coordinates of all 4 atoms:
Pt  0.500  0.500  0.500
B  0.750  0.750  0.750
B  0.250  0.250  0.250
Co  0.000  0.000  0.000

[12]
DFT (PBE) results for an optimized crystal structure of KZnCd.

Raw total energy ... -13.3 eV/cell
Volume ... 353 Å³/cell
Energy of formation from the pure elements ... -0.030 eV per formula unit
D(E_F) ... 0.425 states/eV/atom

a b c (Å): 6.131 4.532 12.710
angles (deg): 90.00 93.11 90.00
Fractional coordinates of all 12 atoms:
K  0.000  0.500  0.080
Zn  0.240  0.500  0.349
K  0.505  0.000  0.146
Cd  0.479  0.500  0.918
Cd  0.767  0.500  0.359
Zn  0.032  0.500  0.811
Zn  0.240  0.000  0.849
K  0.000  0.000  0.580
Cd  0.767  0.000  0.859
K  0.505  0.500  0.646
Zn  0.032  0.000  0.311
Cd  0.479  0.000  0.418